# 1
The following is a DFT calculation (meta-GGA SCAN) of a crystal of CsSiSe2N relaxed with PBEsol.

Properties
Crystal system ... tetragonal
SG ... P4/mmm (123)

Unit cell a=5.836 b=5.836 c=3.252 alpha=90.00 beta=90.00 gamma=90.00
Fractional coordinates of all 5 atoms:
Cs (0.000, 0.000, 0.000)
Si (0.500, 0.500, 0.500)
Se (0.000, 0.500, 0.500)
Se (0.500, 0.000, 0.500)
N (0.500, 0.500, 0.000)

***

# 2
The following is a DFT calculation (meta-GGA SCAN) of a crystal of Cu2HgI2 relaxed with PBEsol.

Properties
Crystal system ... tetragonal
SG ... I4/mmm (139)

Unit cell a=8.878 b=8.878 c=8.878 alpha=154.21 beta=154.21 gamma=36.80
Fractional coordinates of all 5 atoms:
Cu (0.250, 0.750, 0.500)
Cu (0.750, 0.250, 0.500)
Hg (0.000, 0.000, 0.000)
I (0.352, 0.352, 0.000)
I (0.648, 0.648, 0.000)

***

| no. | E (Ha/atom) |
| --- | --- |
| 1 | -0.7181 |
| 2 | -1.2668 |